Computed, not measured: an optimized crystal structure of TiMn2CrO6 at the PBE with a Hubbard U level of DFT.

a b c (Å): 5.0427 5.0470 5.4587
angles (deg): 89.82 62.53 60.18
Positions (direct):
Ti1 0.0000 0.0000 0.0000
Mn1 0.4033 0.7975 0.4131
Mn2 0.4071 0.2969 0.9082
Cr1 0.0104 0.4927 0.4980
O1 0.1969 0.1004 0.1926
O2 0.2028 0.2072 0.7067
O3 0.5158 0.5848 0.7103
O4 0.5217 0.3806 0.2001
O5 0.8936 0.8939 0.7085
O6 0.9189 0.7063 0.1935

Results
The calculation puts the volume at 10.22 A^3/atom. As for the calculated total energy: -77.5 eV/cell. The value obtained for the total magnetization is 6.0 μB/cell.